DFT (PBE) results for TlSb2Pt after structural relaxation.

Unit cell a=5.112 b=5.112 c=5.112 alpha=60.00 beta=60.00 gamma=60.00
Sites, in units of the cell vectors:
Tl: 0.500 0.500 0.500
Pt: 0.000 0.000 0.000
Sb: 0.250 0.250 0.250
Sb: 0.750 0.750 0.750

Output
**Space-group type**: No. 225
**Uncorrected formation energy**: 0.2121 eV/atom
**Crystal system**: cubic

=====

DFT (PBE) results for U6SeS5 after structural relaxation.

Unit cell a=6.808 b=6.635 c=6.786 alpha=60.73 beta=80.28 gamma=69.79
Last column: magnetic moment on the atom in μB.
Sites, in units of the cell vectors:
S: 0.000 0.332 0.337  -0.07
S: 0.500 0.160 0.680  -0.07
U: 0.258 0.913 0.657  2.11
U: 0.749 0.739 0.000  2.07
S: 0.500 0.500 0.000  -0.07
U: 0.251 0.261 0.000  2.07
Se: 0.000 0.000 0.000  -0.05
S: 0.000 0.668 0.663  -0.07
U: 0.742 0.430 0.657  2.11
S: 0.500 0.840 0.320  -0.07
U: 0.258 0.570 0.343  2.11
U: 0.742 0.087 0.343  2.11

Output
**Space-group type**: No. 12
**Uncorrected formation energy**: -1.3035 eV/atom
**Crystal system**: monoclinic

=====

DFT (PBE) results for CaYNiHg after structural relaxation.

Unit cell a=5.075 b=5.075 c=5.075 alpha=60.00 beta=60.00 gamma=60.00
Sites, in units of the cell vectors:
Ni: 0.000 0.000 0.000
Ca: 0.750 0.750 0.750
Y: 0.250 0.250 0.250
Hg: 0.500 0.500 0.500

Output
**Space-group type**: No. 216
**DFT formation energy**: -1.13 eV per formula unit
**Crystal system**: cubic

=====

DFT (PBE) results for KHo2Cu2S4 after structural relaxation.

Unit cell a=3.622 b=7.596 c=7.481 alpha=116.14 beta=90.00 gamma=103.79
Sites, in units of the cell vectors:
Cu: 0.694 0.388 0.032
Ho: 0.127 0.254 0.560
S: 0.218 0.435 0.272
S: 0.459 0.919 0.275
Ho: 0.873 0.746 0.440
S: 0.782 0.565 0.728
K: 0.000 0.000 0.000
S: 0.541 0.081 0.725
Cu: 0.306 0.612 0.968

Output
**Space-group type**: No. 12
**Uncorrected formation energy**: -1.1383 eV/atom
**Crystal system**: monoclinic

=====

DFT (PBE) results for MgBi3Pd after structural relaxation.

Unit cell a=5.426 b=5.426 c=5.426 alpha=90.00 beta=90.00 gamma=90.00
Sites, in units of the cell vectors:
Mg: 0.500 0.500 0.500
Pd: 0.000 0.000 0.000
Bi: 0.500 0.000 0.000
Bi: 0.000 0.500 0.000
Bi: 0.000 0.000 0.500

Output
**Space-group type**: No. 221
**DFT formation energy**: 1.22 eV per formula unit
**Crystal system**: cubic

=====

DFT (PBE) results for Ti2V3H4 after structural relaxation.

Unit cell a=2.613 b=4.756 c=7.201 alpha=106.51 beta=90.00 gamma=105.94
Sites, in units of the cell vectors:
Ti: 0.705 0.410 0.799
H: 0.923 0.846 0.389
Ti: 0.295 0.590 0.201
V: 0.602 0.204 0.402
V: 0.398 0.796 0.598
H: 0.077 0.154 0.611
H: 0.351 0.701 0.957
H: 0.649 0.299 0.043
V: 0.000 0.000 0.000

Output
**Electronic total energy**: -6.376 eV per atom
**Space-group type**: No. 12
**Crystal system**: monoclinic

=====

DFT (PBE) results for Cs2PuNpS6 after structural relaxation.

Unit cell a=7.415 b=7.415 c=7.415 alpha=60.00 beta=60.00 gamma=60.00
Last column: magnetic moment on the atom in μB.
Sites, in units of the cell vectors:
S: 0.753 0.753 0.247  -0.23
S: 0.247 0.753 0.753  -0.23
S: 0.753 0.247 0.247  -0.23
Cs: 0.250 0.250 0.250  0.00
S: 0.753 0.247 0.753  -0.23
S: 0.247 0.753 0.247  -0.23
S: 0.247 0.247 0.753  -0.23
Np: 0.000 0.000 0.000  2.41
Pu: 0.500 0.500 0.500  4.41
Cs: 0.750 0.750 0.750  0.00

Output
**Space-group type**: No. 225
**Uncorrected formation energy**: -1.2381 eV/atom
**Crystal system**: cubic

=====

DFT (PBE) results for Zr2InNi after structural relaxation.

Unit cell a=5.766 b=5.766 c=4.853 alpha=64.94 beta=64.94 gamma=32.97
Sites, in units of the cell vectors:
In: 0.464 0.464 0.519
Zr: 0.256 0.256 0.241
Ni: 0.747 0.747 0.790
Zr: 0.032 0.032 0.951

Output
**Space-group type**: No. 8
**DFT formation energy**: -0.88 eV per formula unit
**Crystal system**: monoclinic